Density functional theory data (PBE) for NaOsRh after structural relaxation.

Properties
- ΔH_f (0 K): 0.486 eV/atom
- D(E_F): 2.471 states/eV per cell
- M_tot: 0.000 μB/atom
- V: 18.7 Å³ per atom

Lattice parameters (Å, degrees): 5.8384 5.8384 5.8384 153.60 140.48 48.15
Last column: nearest neighbours and their distance in Å.
Sites, in units of the cell vectors:
1 Na 0.0000 0.0000 0.0000  2 Na 2.67
2 Os 0.7099 0.7099 0.0000  4 Rh 2.54, 2 Os 2.67
3 Rh 0.2923 0.2923 0.0000  4 Os 2.54, 2 Rh 2.67